Material: Pm3Y2Tm6Zr
Method: DFT, PBE-GGA
State: optimized geometry

Results
energy of formation from the pure elements: 0.0462 eV/atom

Unit cell a=6.1007 b=10.5562 c=11.5762 alpha=90.00 beta=100.09 gamma=90.00
Closest atoms and distances in Å follow each position.
Space group C2/m (No. 12)
Unique sites:
Pm (0.0000, 0.0000, 0.0000) (multiplicity 2)  6 Pm 3.52, 6 Tm 3.55-3.59
Pm (0.0000, 0.3339, 0.0000) (multiplicity 4)  6 Pm 3.51-3.53, 6 Tm 3.55-3.60
Y (0.0000, 0.1668, 0.5000) (multiplicity 4)  6 Tm 3.45, 3 Zr 3.52, 3 Y 3.52
Tm (0.2432, 0.3372, 0.7431) (multiplicity 8)  1 Zr 3.41, 6 Tm 3.44-3.57, 2 Y 3.45, 3 Pm 3.55-3.60
Tm (0.2450, 0.5000, 0.2573) (multiplicity 4)  1 Zr 3.41, 6 Tm 3.44-3.57, 2 Y 3.45, 3 Pm 3.55-3.59
Zr (0.0000, 0.5000, 0.5000) (multiplicity 2)  6 Tm 3.41, 6 Y 3.52

***

Material: Er2MnTl
Method: DFT, PBE-GGA
State: optimized geometry

Results
energy of formation from the pure elements: -0.0150 eV/atom

Unit cell a=7.3136 b=7.3136 c=7.3136 alpha=90.00 beta=90.00 gamma=90.00
Closest atoms and distances in Å follow each position.
Space group Fm-3m (No. 225)
Unique sites:
Er (0.2500, 0.2500, 0.2500) (multiplicity 8)  4 Tl 3.17, 4 Mn 3.17
Mn (0.0000, 0.0000, 0.0000) (multiplicity 4)  8 Er 3.17
Tl (0.0000, 0.0000, 0.5000) (multiplicity 4)  8 Er 3.17

***

Material: PrSm3Tm3
Method: DFT, PBE-GGA
State: optimized geometry

Results
energy of formation from the pure elements: 0.0182 eV/atom

Unit cell a=9.6280 b=9.6280 c=5.7201 alpha=90.00 beta=90.00 gamma=120.00
Closest atoms and distances in Å follow each position.
Space group P6_3/m (No. 176)
Unique sites:
Pr (0.3333, 0.6667, 0.2500) (multiplicity 2)  9 Tm 3.54-3.64, 3 Sm 3.62
Sm (0.0497, 0.2404, 0.2500) (multiplicity 6)  5 Tm 3.55-3.66, 6 Sm 3.56-3.67, 1 Pr 3.62
Tm (0.0958, 0.4777, 0.7500) (multiplicity 6)  3 Pr 3.54-3.64, 4 Tm 3.54-3.62, 5 Sm 3.55-3.66

***

Material: Y2WSe
Method: DFT, PBE-GGA
State: optimized geometry

Results
raw total energy: -0.26730 hartree per atom

Unit cell a=3.4400 b=3.4400 c=28.0361 alpha=90.00 beta=90.00 gamma=120.00
Closest atoms and distances in Å follow each position.
Space group R3m (No. 160, hexagonal axes)
Unique sites:
Y (0.0000, 0.0000, 0.0000) (multiplicity 3)  3 W 3.12, 6 Y 3.44
Y (0.0000, 0.0000, 0.2253) (multiplicity 3)  3 Se 3.03
W (0.0000, 0.0000, 0.7524) (multiplicity 3)  3 Se 2.56
Se (0.0000, 0.0000, 0.4769) (multiplicity 3)  3 W 2.56

***

Material: Zn2BBr
Method: DFT, PBE-GGA
State: optimized geometry

Results
raw total energy: -0.08672 hartree per atom

Unit cell a=5.7733 b=5.7733 c=9.8254 alpha=90.00 beta=90.00 gamma=90.00
Closest atoms and distances in Å follow each position.
Space group I-42d (No. 122)
Unique sites:
Zn (0.1581, 0.2500, 0.1250) (multiplicity 8)  2 B 2.10
B (0.0000, 0.0000, 0.0000) (multiplicity 4)  4 Zn 2.10
Br (0.0000, 0.0000, 0.5000) (multiplicity 4)  4 Zn 2.74

***

Material: Pm6PN4
Method: DFT, PBE-GGA
State: optimized geometry

Results
raw total energy: -0.27352 hartree per atom

Unit cell a=3.7188 b=12.0807 c=18.7214 alpha=90.00 beta=90.00 gamma=90.00
Closest atoms and distances in Å follow each position.
Space group Cmcm (No. 63)
Unique sites:
Pm (0.0000, 0.0000, 0.0000) (multiplicity 4)  6 N 2.56-2.61
Pm (0.0000, 0.1583, 0.2500) (multiplicity 4)  2 N 2.50
Pm (0.0000, 0.2776, 0.5787) (multiplicity 8)  5 N 2.45-2.63
Pm (0.0000, 0.4568, 0.1523) (multiplicity 8)  3 N 2.39-2.49
P (0.0000, 0.1642, 0.7500) (multiplicity 4)  6 Pm 2.84-2.99
N (0.0000, 0.0865, 0.1247) (multiplicity 8)  6 Pm 2.49-2.63
N (0.0000, 0.3615, 0.0403) (multiplicity 8)  6 Pm 2.39-2.61

***

Per-record total magnetization, Bohr magnetons per cell: 0.00; 13.51; 0.00; 1.69; 0.00; 1.08